# Ho4Tm2In (PBE-GGA, relaxed)
data_Ho4Tm2In
_chemical_formula_sum 'Ho8 Tm4 In2'
_cell_length_a 6.377
_cell_length_b 6.377
_cell_length_c 11.517
_cell_angle_alpha 102.00
_cell_angle_beta 102.00
_cell_angle_gamma 104.44
_symmetry_space_group_name_H-M 'P 1'
_symmetry_Int_Tables_number 1
loop_
_symmetry_equiv_pos_as_xyz
'x,y,z'
loop_
_atom_site_label
_atom_site_fract_x
_atom_site_fract_y
_atom_site_fract_z
Ho1 0.624 0.150 0.662
Ho2 0.983 0.559 0.266
Ho3 0.809 0.733 0.766
Ho4 0.966 0.043 0.234
Ho5 0.488 0.963 0.338
Ho6 0.213 0.238 0.838
Ho7 0.293 0.716 0.734
Ho8 0.400 0.374 0.162
In1 0.901 0.401 0.500
In2 0.651 0.651 0.000
Tm1 0.750 0.179 0.975
Tm2 0.429 0.500 0.475
Tm3 0.025 0.953 0.525
Tm4 0.203 0.775 0.025
# Crystal system: orthorhombic
# DFT formation energy: -0.0376 eV/atom
# Electronic total energy: -4.322 eV/atom
# E above lowest polymorph: 0.0 meV per atom
# Density: 8.66 Mg/m³